(1)
# DyB4Ir (GGA-PBE, optimized geometry)
data_DyB4Ir
_chemical_formula_sum 'Dy4 B16 Ir4'
_space_group_name_H-M_alt 'P b a m'
_space_group_IT_number 55
_cell_length_a 5.9745
_cell_length_b 11.5951
_cell_length_c 3.5781
_cell_angle_alpha 90.00
_cell_angle_beta 90.00
_cell_angle_gamma 90.00
loop_
_space_group_symop_operation_xyz
'x,y,z'
'-x,-y,-z'
'-x,-y,z'
'x,y,-z'
'x+1/2,-y+1/2,-z'
'-x+1/2,y+1/2,z'
'-x+1/2,y+1/2,-z'
'x+1/2,-y+1/2,z'
loop_
_atom_site_label
_atom_site_fract_x
_atom_site_fract_y
_atom_site_fract_z
Dy1 0.1314 0.1487 0.0000
B1 0.0240 0.6921 0.5000
B2 0.1121 0.5466 0.5000
B3 0.1366 0.9693 0.5000
B4 0.2088 0.8125 0.5000
Ir1 0.1442 0.4033 0.0000
# Calculated formation energy (eV per atom): -0.60
# V (Å³/cell): 247.87
# Crystal system: orthorhombic
# Fermi-level density of states (states/eV/atom): 0.14

=====

(2)
# DyBIr (GGA-PBE, optimized geometry)
data_DyBIr
_chemical_formula_sum 'Dy2 B2 Ir2'
_space_group_name_H-M_alt 'I 4 m m'
_space_group_IT_number 107
_space_group_name_Hall 'I 4 -2'
_cell_length_a 2.9427
_cell_length_b 2.9427
_cell_length_c 10.3626
_cell_angle_alpha 90.00
_cell_angle_beta 90.00
_cell_angle_gamma 90.00
loop_
_atom_site_label
_atom_site_fract_x
_atom_site_fract_y
_atom_site_fract_z
Dy1 0.0000 0.0000 0.0000
B1 0.0000 0.0000 0.6909
Ir1 0.0000 0.0000 0.2785
# Offset from the most stable computed form (meV/atom): 391
# Calculated formation energy (eV per atom): -0.27
# V (Å³/cell): 89.74
# Crystal system: tetragonal
# Fermi-level density of states (states/eV/atom): 0.39

=====

(3)
# Dy2B3Ir2 (GGA-PBE, optimized geometry)
data_Dy2B3Ir2
_chemical_formula_sum 'Dy4 B6 Ir4'
_space_group_name_H-M_alt 'C 1 2/m 1'
_space_group_IT_number 12
_cell_length_a 9.5276
_cell_length_b 3.7366
_cell_length_c 7.2123
_cell_angle_alpha 90.00
_cell_angle_beta 125.07
_cell_angle_gamma 90.00
loop_
_space_group_symop_operation_xyz
'x,y,z'
'-x,-y,-z'
'-x,y,-z'
'x,-y,z'
'x+1/2,y+1/2,z'
'-x+1/2,-y+1/2,-z'
'-x+1/2,y+1/2,-z'
'x+1/2,-y+1/2,z'
loop_
_atom_site_label
_atom_site_fract_x
_atom_site_fract_y
_atom_site_fract_z
Dy1 0.0687 0.0000 0.2957
B1 0.0000 0.5000 0.5000
B2 0.1670 0.5000 0.7647
Ir1 0.1983 0.5000 0.0982
# Calculated formation energy (eV per atom): -0.51
# V (Å³/cell): 210.15
# Crystal system: monoclinic
# Fermi-level density of states (states/eV/atom): 0.50

=====

(4)
# DyB3Ir3 (GGA-PBE, optimized geometry)
data_DyB3Ir3
_chemical_formula_sum 'Dy4 B12 Ir12'
_space_group_name_H-M_alt 'P 21 3'
_space_group_IT_number 198
_space_group_name_Hall 'P 2ac 2ab 3'
_cell_length_a 7.4683
_cell_length_b 7.4683
_cell_length_c 7.4683
_cell_angle_alpha 90.00
_cell_angle_beta 90.00
_cell_angle_gamma 90.00
loop_
_atom_site_label
_atom_site_fract_x
_atom_site_fract_y
_atom_site_fract_z
Dy1 0.0014 0.4986 0.5014
B1 0.0083 0.8073 0.6839
Ir1 0.0503 0.9497 0.4497
Ir2 0.2300 0.2300 0.2300
Ir3 0.2448 0.2552 0.7448
# Offset from the most stable computed form (meV/atom): 54
# Calculated formation energy (eV per atom): -0.33
# V (Å³/cell): 416.55
# Crystal system: cubic
# Fermi-level density of states (states/eV/atom): 0.47

=====

(5)
# Dy2BIr3 (GGA-PBE, optimized geometry)
data_Dy2BIr3
_chemical_formula_sum 'Dy6 B3 Ir9'
_space_group_name_H-M_alt 'R -3 m'
_space_group_IT_number 166
_space_group_name_Hall '-R 3 2"'
_cell_length_a 5.4944
_cell_length_b 5.4944
_cell_length_c 11.2927
_cell_angle_alpha 90.00
_cell_angle_beta 90.00
_cell_angle_gamma 120.00
loop_
_atom_site_label
_atom_site_fract_x
_atom_site_fract_y
_atom_site_fract_z
Dy1 0.0000 0.0000 0.1265
B1 0.0000 0.0000 0.5000
Ir1 0.0000 0.5000 0.0000
# Offset from the most stable computed form (meV/atom): 0
# Calculated formation energy (eV per atom): -0.58
# V (Å³/cell): 295.24
# Crystal system: trigonal
# Fermi-level density of states (states/eV/atom): 0.53

=====

(6)
# DyBIr (GGA-PBE, optimized geometry)
data_DyBIr
_chemical_formula_sum 'Dy1 B1 Ir1'
_space_group_name_H-M_alt 'P 4/m m m'
_space_group_IT_number 123
_space_group_name_Hall '-P 4 2'
_cell_length_a 3.6638
_cell_length_b 3.6638
_cell_length_c 3.9823
_cell_angle_alpha 90.00
_cell_angle_beta 90.00
_cell_angle_gamma 90.00
loop_
_atom_site_label
_atom_site_fract_x
_atom_site_fract_y
_atom_site_fract_z
Dy1 0.0000 0.0000 0.0000
B1 0.5000 0.5000 0.0000
Ir1 0.5000 0.5000 0.5000
# Offset from the most stable computed form (meV/atom): 284
# Calculated formation energy (eV per atom): -0.38
# V (Å³/cell): 53.46
# Crystal system: tetragonal
# Fermi-level density of states (states/eV/atom): 0.87

=====

(7)
# Dy2BIr2 (GGA-PBE, optimized geometry)
data_Dy2BIr2
_chemical_formula_sum 'Dy8 B4 Ir8'
_space_group_name_H-M_alt 'C 1 2/c 1'
_space_group_IT_number 15
_cell_length_a 10.1014
_cell_length_b 5.4930
_cell_length_c 6.7762
_cell_angle_alpha 90.00
_cell_angle_beta 98.73
_cell_angle_gamma 90.00
loop_
_space_group_symop_operation_xyz
'x,y,z'
'-x,-y,-z'
'-x,y,-z+1/2'
'x,-y,z+1/2'
'x+1/2,y+1/2,z'
'-x+1/2,-y+1/2,-z'
'-x+1/2,y+1/2,-z+1/2'
'x+1/2,-y+1/2,z+1/2'
loop_
_atom_site_label
_atom_site_fract_x
_atom_site_fract_y
_atom_site_fract_z
Dy1 0.1471 0.1201 0.1444
B1 0.0000 0.4539 0.7500
Ir1 0.1215 0.3808 0.5167
# Calculated formation energy (eV per atom): -0.66
# V (Å³/cell): 371.64
# Crystal system: monoclinic
# Fermi-level density of states (states/eV/atom): 0.46

=====

(8)
# Dy2BIr3 (GGA-PBE, optimized geometry)
data_Dy2BIr3
_chemical_formula_sum 'Dy4 B2 Ir6'
_space_group_name_H-M_alt 'I m m m'
_space_group_IT_number 71
_space_group_name_Hall '-I 2 2'
_cell_length_a 3.2040
_cell_length_b 5.2944
_cell_length_c 12.7295
_cell_angle_alpha 90.00
_cell_angle_beta 90.00
_cell_angle_gamma 90.00
loop_
_atom_site_label
_atom_site_fract_x
_atom_site_fract_y
_atom_site_fract_z
Dy1 0.0000 0.0000 0.1855
B1 0.0000 0.0000 0.5000
Ir1 0.0000 0.5000 0.1108
Ir2 0.0000 0.5000 0.5000
# Offset from the most stable computed form (meV/atom): 394
# Calculated formation energy (eV per atom): -0.18
# V (Å³/cell): 215.94
# Crystal system: orthorhombic
# Fermi-level density of states (states/eV/atom): 0.51

=====

(9)
# DyB6Ir12 (GGA-PBE, optimized geometry)
data_DyB6Ir12
_chemical_formula_sum 'Dy3 B18 Ir36'
_space_group_name_H-M_alt 'R -3 m'
_space_group_IT_number 166
_space_group_name_Hall '-R 3 2"'
_cell_length_a 10.3244
_cell_length_b 10.3244
_cell_length_c 8.1226
_cell_angle_alpha 90.00
_cell_angle_beta 90.00
_cell_angle_gamma 120.00
loop_
_atom_site_label
_atom_site_fract_x
_atom_site_fract_y
_atom_site_fract_z
Dy1 0.0000 0.0000 0.0000
B1 0.0422 0.5211 0.2905
Ir1 0.0000 0.3648 0.5000
Ir2 0.0868 0.1735 0.3579
# Calculated formation energy (eV per atom): -0.26
# V (Å³/cell): 749.82
# Crystal system: trigonal
# Fermi-level density of states (states/eV/atom): 0.73

=====

(10)
# DyB3Ir3 (GGA-PBE, optimized geometry)
data_DyB3Ir3
_chemical_formula_sum 'Dy2 B6 Ir6'
_space_group_name_H-M_alt 'P m -3 n'
_space_group_IT_number 223
_space_group_name_Hall '-P 4n 2 3'
_cell_length_a 5.8754
_cell_length_b 5.8754
_cell_length_c 5.8754
_cell_angle_alpha 90.00
_cell_angle_beta 90.00
_cell_angle_gamma 90.00
loop_
_atom_site_label
_atom_site_fract_x
_atom_site_fract_y
_atom_site_fract_z
Dy1 0.0000 0.0000 0.0000
B1 0.0000 0.2500 0.5000
Ir1 0.0000 0.5000 0.2500
# Offset from the most stable computed form (meV/atom): 0
# Calculated formation energy (eV per atom): -0.38
# V (Å³/cell): 202.82
# Crystal system: cubic
# Fermi-level density of states (states/eV/atom): 0.28

=====

(11)
# DyB4Ir4 (GGA-PBE, optimized geometry)
data_DyB4Ir4
_chemical_formula_sum 'Dy2 B8 Ir8'
_space_group_name_H-M_alt 'P 42/n'
_space_group_IT_number 86
_cell_length_a 7.6397
_cell_length_b 7.6397
_cell_length_c 3.9920
_cell_angle_alpha 90.00
_cell_angle_beta 90.00
_cell_angle_gamma 90.00
loop_
_space_group_symop_operation_xyz
'x,y,z'
'-x,-y,-z'
'-y,x+1/2,z+1/2'
'y,-x+1/2,-z+1/2'
'-x+1/2,-y+1/2,z'
'x+1/2,y+1/2,-z'
'y+1/2,-x,z+1/2'
'-y+1/2,x,-z+1/2'
loop_
_atom_site_label
_atom_site_fract_x
_atom_site_fract_y
_atom_site_fract_z
Dy1 0.2500 0.2500 0.2500
B1 0.0277 0.9075 0.1384
Ir1 0.0898 0.6405 0.1369
# Offset from the most stable computed form (meV/atom): 0
# Calculated formation energy (eV per atom): -0.55
# V (Å³/cell): 232.99
# Crystal system: tetragonal
# Fermi-level density of states (states/eV/atom): 0.31

=====

(12)
# DyBIr (GGA-PBE, optimized geometry)
data_DyBIr
_chemical_formula_sum 'Dy1 B1 Ir1'
_space_group_name_H-M_alt 'P -6 m 2'
_space_group_IT_number 187
_space_group_name_Hall 'P -6 2'
_cell_length_a 3.6929
_cell_length_b 3.6929
_cell_length_c 4.2347
_cell_angle_alpha 90.00
_cell_angle_beta 90.00
_cell_angle_gamma 120.00
loop_
_atom_site_label
_atom_site_fract_x
_atom_site_fract_y
_atom_site_fract_z
Dy1 0.0000 0.0000 0.0000
B1 0.3333 0.6667 0.5000
Ir1 0.6667 0.3333 0.5000
# Offset from the most stable computed form (meV/atom): 0
# Calculated formation energy (eV per atom): -0.66
# V (Å³/cell): 50.01
# Crystal system: hexagonal
# Fermi-level density of states (states/eV/atom): 0.78

=====

(13)
# Dy3B7Ir (GGA-PBE, optimized geometry)
data_Dy3B7Ir
_chemical_formula_sum 'Dy12 B28 Ir4'
_space_group_name_H-M_alt 'C m c m'
_space_group_IT_number 63
_space_group_name_Hall '-C 2c 2'
_cell_length_a 3.4949
_cell_length_b 15.7660
_cell_length_c 9.3810
_cell_angle_alpha 90.00
_cell_angle_beta 90.00
_cell_angle_gamma 90.00
loop_
_atom_site_label
_atom_site_fract_x
_atom_site_fract_y
_atom_site_fract_z
Dy1 0.0000 0.1067 0.0601
Dy2 0.0000 0.2466 0.7500
B1 0.0000 0.2729 0.0331
B2 0.0000 0.3669 0.1516
B3 0.0000 0.4561 0.7500
B4 0.0000 0.4795 0.0959
Ir1 0.0000 0.0533 0.7500
# Calculated formation energy (eV per atom): -0.61
# V (Å³/cell): 516.90
# Crystal system: orthorhombic
# Fermi-level density of states (states/eV/atom): 0.16

=====

(14)
# DyB4Ir6 (GGA-PBE, optimized geometry)
data_DyB4Ir6
_chemical_formula_sum 'Dy2 B8 Ir12'
_space_group_name_H-M_alt 'I -4 2 m'
_space_group_IT_number 121
_space_group_name_Hall 'I -4 2'
_cell_length_a 5.4986
_cell_length_b 5.4986
_cell_length_c 9.4906
_cell_angle_alpha 90.00
_cell_angle_beta 90.00
_cell_angle_gamma 90.00
loop_
_atom_site_label
_atom_site_fract_x
_atom_site_fract_y
_atom_site_fract_z
Dy1 0.0000 0.0000 0.0000
B1 0.1867 0.1867 0.6070
Ir1 0.0000 0.5000 0.0000
Ir2 0.1746 0.1746 0.2976
# Calculated formation energy (eV per atom): -0.23
# V (Å³/cell): 286.94
# Crystal system: tetragonal
# Fermi-level density of states (states/eV/atom): 0.51

=====

(15)
# DyNiBIr (GGA-PBE, optimized geometry)
data_DyNiBIr
_chemical_formula_sum 'Dy2 Ni2 B2 Ir2'
_space_group_name_H-M_alt 'I m m 2'
_space_group_IT_number 44
_cell_length_a 3.6651
_cell_length_b 3.8041
_cell_length_c 8.7723
_cell_angle_alpha 90.00
_cell_angle_beta 90.00
_cell_angle_gamma 90.00
loop_
_space_group_symop_operation_xyz
'x,y,z'
'-x,-y,z'
'-x,y,z'
'x,-y,z'
'x+1/2,y+1/2,z+1/2'
'-x+1/2,-y+1/2,z+1/2'
'-x+1/2,y+1/2,z+1/2'
'x+1/2,-y+1/2,z+1/2'
loop_
_atom_site_label
_atom_site_fract_x
_atom_site_fract_y
_atom_site_fract_z
Dy1 0.0000 0.0000 0.0000
Ni1 0.0000 0.0000 0.3483
B1 0.0000 0.5000 0.2565
Ir1 0.0000 0.0000 0.6468
# Calculated formation energy (eV per atom): -0.46
# V (Å³/cell): 122.30
# Crystal system: orthorhombic
# Fermi-level density of states (states/eV/atom): 0.66

=====

(16)
# DyB4Ir2Os (GGA-PBE, optimized geometry)
data_DyB4Ir2Os
_chemical_formula_sum 'Dy3 B12 Ir6 Os3'
_space_group_name_H-M_alt 'R -3 m'
_space_group_IT_number 166
_space_group_name_Hall '-R 3 2"'
_cell_length_a 3.6938
_cell_length_b 3.6938
_cell_length_c 24.4471
_cell_angle_alpha 90.00
_cell_angle_beta 90.00
_cell_angle_gamma 120.00
loop_
_atom_site_label
_atom_site_fract_x
_atom_site_fract_y
_atom_site_fract_z
Dy1 0.0000 0.0000 0.0000
B1 0.0000 0.0000 0.1267
B2 0.0000 0.0000 0.4054
Ir1 0.0000 0.0000 0.2408
Os1 0.0000 0.0000 0.5000
# Calculated formation energy (eV per atom): -0.14
# V (Å³/cell): 288.87
# Crystal system: trigonal
# Fermi-level density of states (states/eV/atom): 0.31

=====

(17)
# Dy3B2IrPt9 (GGA-PBE, optimized geometry)
data_Dy3B2IrPt9
_chemical_formula_sum 'Dy3 B2 Ir1 Pt9'
_space_group_name_H-M_alt 'P -3 m 1'
_space_group_IT_number 164
_space_group_name_Hall '-P 3 2"'
_cell_length_a 5.6781
_cell_length_b 5.6781
_cell_length_c 9.5094
_cell_angle_alpha 90.00
_cell_angle_beta 90.00
_cell_angle_gamma 120.00
loop_
_atom_site_label
_atom_site_fract_x
_atom_site_fract_y
_atom_site_fract_z
Dy1 0.0000 0.0000 0.0000
Dy2 0.3333 0.6667 0.5917
B1 0.3333 0.6667 0.1465
Ir1 0.0000 0.0000 0.5000
Pt1 0.0000 0.5000 0.0000
Pt2 0.1618 0.3235 0.2761
# Calculated formation energy (eV per atom): -0.74
# V (Å³/cell): 265.51
# Crystal system: trigonal
# Fermi-level density of states (states/eV/atom): 0.52

=====

(18)
# DyBIrRh (GGA-PBE, optimized geometry)
data_DyBIrRh
_chemical_formula_sum 'Dy2 B2 Ir2 Rh2'
_space_group_name_H-M_alt 'I m m 2'
_space_group_IT_number 44
_cell_length_a 3.6375
_cell_length_b 3.9066
_cell_length_c 9.0950
_cell_angle_alpha 90.00
_cell_angle_beta 90.00
_cell_angle_gamma 90.00
loop_
_space_group_symop_operation_xyz
'x,y,z'
'-x,-y,z'
'-x,y,z'
'x,-y,z'
'x+1/2,y+1/2,z+1/2'
'-x+1/2,-y+1/2,z+1/2'
'-x+1/2,y+1/2,z+1/2'
'x+1/2,-y+1/2,z+1/2'
loop_
_atom_site_label
_atom_site_fract_x
_atom_site_fract_y
_atom_site_fract_z
Dy1 0.0000 0.0000 0.0000
B1 0.0000 0.5000 0.2521
Ir1 0.0000 0.0000 0.6438
Rh1 0.0000 0.0000 0.3503
# Calculated formation energy (eV per atom): -0.51
# V (Å³/cell): 129.24
# Crystal system: orthorhombic
# Fermi-level density of states (states/eV/atom): 0.86

=====

(19)
# DyBIrRh2 (GGA-PBE, optimized geometry)
data_DyBIrRh2
_chemical_formula_sum 'Dy1 B1 Ir1 Rh2'
_space_group_name_H-M_alt 'P 4/m m m'
_space_group_IT_number 123
_space_group_name_Hall '-P 4 2'
_cell_length_a 4.2233
_cell_length_b 4.2233
_cell_length_c 4.1921
_cell_angle_alpha 90.00
_cell_angle_beta 90.00
_cell_angle_gamma 90.00
loop_
_atom_site_label
_atom_site_fract_x
_atom_site_fract_y
_atom_site_fract_z
Dy1 0.0000 0.0000 0.0000
B1 0.5000 0.5000 0.5000
Ir1 0.5000 0.5000 0.0000
Rh1 0.0000 0.5000 0.5000
# Calculated formation energy (eV per atom): -0.76
# V (Å³/cell): 74.77
# Crystal system: tetragonal
# Fermi-level density of states (states/eV/atom): 0.85

=====

(20)
# DyB2IrRh (GGA-PBE, optimized geometry)
data_DyB2IrRh
_chemical_formula_sum 'Dy2 B4 Ir2 Rh2'
_space_group_name_H-M_alt 'I -4 m 2'
_space_group_IT_number 119
_space_group_name_Hall 'I -4 -2'
_cell_length_a 3.8448
_cell_length_b 3.8448
_cell_length_c 9.3827
_cell_angle_alpha 90.00
_cell_angle_beta 90.00
_cell_angle_gamma 90.00
loop_
_atom_site_label
_atom_site_fract_x
_atom_site_fract_y
_atom_site_fract_z
Dy1 0.0000 0.0000 0.0000
B1 0.0000 0.0000 0.3599
Ir1 0.0000 0.5000 0.7500
Rh1 0.0000 0.5000 0.2500
# Calculated formation energy (eV per atom): -0.69
# V (Å³/cell): 138.70
# Crystal system: tetragonal
# Fermi-level density of states (states/eV/atom): 0.18

=====

(21)
# Dy3B2IrRh9 (GGA-PBE, optimized geometry)
data_Dy3B2IrRh9
_chemical_formula_sum 'Dy3 B2 Ir1 Rh9'
_space_group_name_H-M_alt 'P -3 m 1'
_space_group_IT_number 164
_space_group_name_Hall '-P 3 2"'
_cell_length_a 5.7836
_cell_length_b 5.7836
_cell_length_c 8.6109
_cell_angle_alpha 90.00
_cell_angle_beta 90.00
_cell_angle_gamma 120.00
loop_
_atom_site_label
_atom_site_fract_x
_atom_site_fract_y
_atom_site_fract_z
Dy1 0.0000 0.0000 0.0000
Dy2 0.3333 0.6667 0.6308
B1 0.3333 0.6667 0.1425
Ir1 0.0000 0.0000 0.5000
Rh1 0.0000 0.5000 0.0000
Rh2 0.1656 0.3313 0.2800
# Calculated formation energy (eV per atom): -0.48
# V (Å³/cell): 249.45
# Crystal system: trigonal
# Fermi-level density of states (states/eV/atom): 1.14